No. 1
# Sr2ErSnAu6 (PBE-GGA, relaxed)
data_Sr2ErSnAu6
_chemical_formula_sum 'Sr8 Er4 Sn4 Au24'
_cell_length_a 10.754
_cell_length_b 10.754
_cell_length_c 10.754
_cell_angle_alpha 90.00
_cell_angle_beta 90.00
_cell_angle_gamma 90.00
_space_group_name_H-M_alt 'F m -3 m'
_space_group_IT_number 225
_space_group_name_Hall '-F 4 2 3'
loop_
_atom_site_label
_atom_site_type_symbol
_atom_site_fract_x
_atom_site_fract_y
_atom_site_fract_z
_atom_site_occupancy
Sr1 Sr 0.250 0.250 0.250 1
Er1 Er 0.000 0.000 0.000 1
Sn1 Sn 0.000 0.000 0.500 1
Au1 Au 0.000 0.000 0.253 1
# - Energy of formation from the pure elements: -0.250 eV/atom
# - Calculated total energy: -0.125 Ha/atom
# - Total magnetic moment: 0.000 μB/atom
# - Theoretical density: 8776 kg/m³

---

No. 2
# La6CoHg2 (PBE-GGA, relaxed)
data_La6CoHg2
_chemical_formula_sum 'La12 Co2 Hg4'
_cell_length_a 3.880
_cell_length_b 15.787
_cell_length_c 8.858
_cell_angle_alpha 90.00
_cell_angle_beta 90.00
_cell_angle_gamma 90.00
_space_group_name_H-M_alt 'A m m 2'
_space_group_IT_number 38
loop_
_space_group_symop_operation_xyz
'x,y,z'
'-x,-y,z'
'-x,y,z'
'x,-y,z'
'x,y+1/2,z+1/2'
'-x,-y+1/2,z+1/2'
'-x,y+1/2,z+1/2'
'x,-y+1/2,z+1/2'
loop_
_atom_site_label
_atom_site_type_symbol
_atom_site_fract_x
_atom_site_fract_y
_atom_site_fract_z
_atom_site_occupancy
La1 La 0.000 0.000 0.000 1
La2 La 0.000 0.117 0.332 1
La3 La 0.500 0.000 0.629 1
La4 La 0.500 0.201 0.012 1
Co1 Co 0.500 0.000 0.263 1
Hg1 Hg 0.000 0.166 0.714 1
# - Energy of formation from the pure elements: -0.287 eV/atom
# - Calculated total energy: -0.163 Ha/atom
# - Total magnetic moment: 0.000 μB/atom
# - Theoretical density: 7918 kg/m³

---

No. 3
# Tb4HoSe6 (PBE-GGA, relaxed)
data_Tb4HoSe6
_chemical_formula_sum 'Tb16 Ho4 Se24'
_cell_length_a 3.990
_cell_length_b 13.448
_cell_length_c 20.816
_cell_angle_alpha 90.00
_cell_angle_beta 90.00
_cell_angle_gamma 90.00
_space_group_name_H-M_alt 'C m c m'
_space_group_IT_number 63
_space_group_name_Hall '-C 2c 2'
loop_
_atom_site_label
_atom_site_type_symbol
_atom_site_fract_x
_atom_site_fract_y
_atom_site_fract_z
_atom_site_occupancy
Tb1 Tb 0.000 0.089 0.127 1
Tb2 Tb 0.000 0.359 0.039 1
Ho1 Ho 0.000 0.153 0.750 1
Se1 Se 0.000 0.000 0.000 1
Se2 Se 0.000 0.193 0.250 1
Se3 Se 0.000 0.270 0.591 1
Se4 Se 0.000 0.446 0.167 1
# - Calculated total energy: -0.214 Ha/atom
# - Energy relative to the elements, uncorrected: -1.823 eV per atom
# - Total magnetic moment: 0.000 μB/atom
# - Theoretical density: 7578 kg/m³

---

No. 4
# LaTbDy2Tm (PBE-GGA, relaxed)
data_LaTbDy2Tm
_chemical_formula_sum 'La4 Tb4 Dy8 Tm4'
_cell_length_a 8.424
_cell_length_b 11.501
_cell_length_c 7.225
_cell_angle_alpha 90.00
_cell_angle_beta 90.00
_cell_angle_gamma 90.00
_space_group_name_H-M_alt 'C m c m'
_space_group_IT_number 63
_space_group_name_Hall '-C 2c 2'
loop_
_atom_site_label
_atom_site_type_symbol
_atom_site_fract_x
_atom_site_fract_y
_atom_site_fract_z
_atom_site_occupancy
La1 La 0.000 0.233 0.250 1
Tb1 Tb 0.000 0.500 0.250 1
Dy1 Dy 0.190 0.000 0.000 1
Tm1 Tm 0.000 0.219 0.750 1
# - Energy of formation from the pure elements: 0.369 eV/atom
# - Calculated total energy: -0.157 Ha/atom
# - Total magnetic moment: 0.000 μB/atom
# - Theoretical density: 7513 kg/m³

---

No. 5
# AcErRh2 (PBE-GGA, relaxed)
data_AcErRh2
_chemical_formula_sum 'Ac3 Er3 Rh6'
_cell_length_a 4.4918
_cell_length_b 4.4918
_cell_length_c 16.5601
_cell_angle_alpha 90.00
_cell_angle_beta 90.00
_cell_angle_gamma 120.00
_space_group_name_H-M_alt 'R -3 m'
_space_group_IT_number 166
_space_group_name_Hall '-R 3 2"'
loop_
_atom_site_label
_atom_site_type_symbol
_atom_site_fract_x
_atom_site_fract_y
_atom_site_fract_z
_atom_site_occupancy
Ac1 Ac 0.0000 0.0000 0.0000 1
Er1 Er 0.0000 0.0000 0.5000 1
Rh1 Rh 0.0000 0.0000 0.2219 1
# - Energy of formation from the pure elements: -0.665 eV/atom
# - Calculated total energy: -0.239 Ha/atom
# - Total magnetic moment: 0.000 μB/atom
# - Theoretical density: 10331 kg/m³

---

No. 6
# CeGa2Co2Ni (PBE-GGA, relaxed)
data_CeGa2Co2Ni
_chemical_formula_sum 'Ce1 Ga2 Co2 Ni1'
_cell_length_a 4.489
_cell_length_b 4.489
_cell_length_c 5.043
_cell_angle_alpha 90.00
_cell_angle_beta 90.00
_cell_angle_gamma 90.00
_space_group_name_H-M_alt 'P 4/m m m'
_space_group_IT_number 123
_space_group_name_Hall '-P 4 2'
loop_
_atom_site_label
_atom_site_type_symbol
_atom_site_fract_x
_atom_site_fract_y
_atom_site_fract_z
_atom_site_occupancy
Ce1 Ce 0.000 0.000 0.000 1
Ga1 Ga 0.000 0.500 0.500 1
Co1 Co 0.500 0.500 0.227 1
Ni1 Ni 0.000 0.000 0.500 1
# - Energy of formation from the pure elements: -0.032 eV/atom
# - Calculated total energy: -0.197 Ha/atom
# - Total magnetic moment: 0.243 μB/atom
# - Theoretical density: 7453 kg/m³

---

No. 7
# SrLaS2N (PBE-GGA, relaxed)
data_SrLaS2N
_chemical_formula_sum 'Sr1 La1 S2 N1'
_cell_length_a 5.392
_cell_length_b 5.392
_cell_length_c 4.398
_cell_angle_alpha 90.00
_cell_angle_beta 90.00
_cell_angle_gamma 90.00
_space_group_name_H-M_alt 'P 4/m m m'
_space_group_IT_number 123
_space_group_name_Hall '-P 4 2'
loop_
_atom_site_label
_atom_site_type_symbol
_atom_site_fract_x
_atom_site_fract_y
_atom_site_fract_z
_atom_site_occupancy
Sr1 Sr 0.000 0.000 0.000 1
La1 La 0.500 0.500 0.500 1
S1 S 0.000 0.500 0.000 1
N1 N 0.000 0.000 0.500 1
# - Calculated total energy: -0.182 Ha/atom
# - Energy relative to the elements, uncorrected: -0.325 eV per atom
# - Total magnetic moment: 0.227 μB/atom
# - Theoretical density: 3956 kg/m³